*P*
Below is a relaxed structure of Si4Te, with properties calculated at the GGA-PBE level.

Lattice parameters (Å, degrees): 3.9176 3.9176 8.7441 90.00 90.00 120.00
Space group P-3m1 (No. 164)
One atom of each set of equivalent atoms:
Si 0.3333 0.6667 0.1856 (multiplicity 2)
Si 0.3333 0.6667 0.4561 (multiplicity 2)
Te 0.0000 0.0000 0.0000 (multiplicity 1)

## Properties
V ... 116.22 Å³ per cell
Total magnetic moment ... 0.000 μB per atom
D(E_F) ... 2.8 states/eV/f.u.



*Q*
Below is a relaxed structure of Si4Te, with properties calculated at the GGA-PBE level.

Lattice parameters (Å, degrees): 4.490 4.490 9.178 90.00 90.00 90.00
Space group I4/mmm (No. 139)
One atom of each set of equivalent atoms:
Si 0.000 0.000 0.130 (multiplicity 4)
Si 0.000 0.500 0.250 (multiplicity 4)
Te 0.000 0.000 0.500 (multiplicity 2)

## Properties
V ... 185.00 Å³ per cell
Total magnetic moment ... 0.000 μB per atom
D(E_F) ... 1.8 states/eV/f.u.



Stability ranking, top and bottom: *Q* is the most stable and *P* is the least stable.



*P*
Below is a relaxed structure of Si5Te3, with properties calculated at the GGA-PBE level.

Lattice parameters (Å, degrees): 7.274 9.385 4.931 90.00 90.00 90.00
Space group Cmmm (No. 65)
One atom of each set of equivalent atoms:
Si 0.000 0.000 0.000 (multiplicity 2)
Si 0.243 0.500 0.500 (multiplicity 4)
Si 0.250 0.250 0.000 (multiplicity 4)
Te 0.000 0.215 0.500 (multiplicity 4)
Te 0.000 0.500 0.000 (multiplicity 2)

## Properties
V ... 336.61 Å³ per cell
Total magnetic moment ... 0.000 μB per atom
D(E_F) ... 6.1 states/eV/f.u.



*Q*
Below is a relaxed structure of Si5Te3, with properties calculated at the GGA-PBE level.

Lattice parameters (Å, degrees): 5.615 20.740 10.740 90.00 105.13 90.00
Space group Cm (No. 8)
One atom of each set of equivalent atoms:
Si 0.000 0.000 0.000 (multiplicity 2)
Si 0.000 0.500 0.000 (multiplicity 2)
Si 0.173 0.067 0.846 (multiplicity 4)
Si 0.183 0.423 0.866 (multiplicity 4)
Si 0.316 0.423 0.134 (multiplicity 4)
Si 0.327 0.067 0.153 (multiplicity 4)
Te 0.071 0.000 0.641 (multiplicity 2)
Te 0.249 0.320 0.000 (multiplicity 4)
Te 0.255 0.249 0.513 (multiplicity 4)
Te 0.430 0.000 0.359 (multiplicity 2)

## Properties
V ... 1207.36 Å³ per cell
Total magnetic moment ... 0.035 μB per atom
D(E_F) ... 4.8 states/eV/f.u.



*R*
Below is a relaxed structure of Si5Te3, with properties calculated at the GGA-PBE level.

Lattice parameters (Å, degrees): 3.571 3.571 14.485 90.00 90.00 90.00
Space group P4/mmm (No. 123)
One atom of each set of equivalent atoms:
Si 0.000 0.000 0.000 (multiplicity 1)
Si 0.000 0.000 0.315 (multiplicity 2)
Si 0.500 0.500 0.297 (multiplicity 2)
Te 0.000 0.000 0.500 (multiplicity 1)
Te 0.500 0.500 0.117 (multiplicity 2)

## Properties
V ... 184.73 Å³ per cell
Total magnetic moment ... 0.000 μB per atom
D(E_F) ... 3.7 states/eV/f.u.



*S*
Below is a relaxed structure of Si5Te3, with properties calculated at the GGA-PBE level.

Lattice parameters (Å, degrees): 9.4306 9.4306 4.6864 90.00 90.00 120.00
Space group P6_3/mcm (No. 193)
One atom of each set of equivalent atoms:
Si 0.0000 0.1628 0.2500 (multiplicity 6)
Si 0.3333 0.6667 0.0000 (multiplicity 4)
Te 0.0000 0.3610 0.7500 (multiplicity 6)

## Properties
V ... 360.95 Å³ per cell
Total magnetic moment ... 0.000 μB per atom
D(E_F) ... 4.9 states/eV/f.u.



Stability ranking, top and bottom: *R* is the most stable and *P* is the least stable.



*P*
Below is a relaxed structure of Si5Te, with properties calculated at the GGA-PBE level.

Lattice parameters (Å, degrees): 3.650 3.585 16.956 90.00 90.00 90.00
Space group Amm2 (No. 38)
One atom of each set of equivalent atoms:
Si 0.000 0.000 0.000 (multiplicity 2)
Si 0.000 0.000 0.270 (multiplicity 2)
Si 0.000 0.000 0.666 (multiplicity 2)
Si 0.500 0.000 0.164 (multiplicity 2)
Si 0.500 0.000 0.554 (multiplicity 2)
Te 0.500 0.000 0.878 (multiplicity 2)

## Properties
V ... 221.90 Å³ per cell
Total magnetic moment ... 0.000 μB per atom
D(E_F) ... 1.9 states/eV/f.u.



*Q*
Below is a relaxed structure of Si5Te, with properties calculated at the GGA-PBE level.

Lattice parameters (Å, degrees): 7.470 7.470 7.470 90.00 90.00 90.00
Space group F-43m (No. 216)
One atom of each set of equivalent atoms:
Si 0.000 0.000 0.000 (multiplicity 4)
Si 0.126 0.126 0.374 (multiplicity 16)
Te 0.250 0.250 0.750 (multiplicity 4)

## Properties
V ... 416.91 Å³ per cell
Total magnetic moment ... 0.000 μB per atom
D(E_F) ... 1.5 states/eV/f.u.



Stability ranking, top and bottom: *P* is the most stable and *Q* is the least stable.



*P*
Below is a relaxed structure of Si5Te, with properties calculated at the GGA-PBE level.

Lattice parameters (Å, degrees): 4.807 11.148 4.712 90.00 90.00 90.00
Space group Cmmm (No. 65)
One atom of each set of equivalent atoms:
Si 0.000 0.000 0.000 (multiplicity 2)
Si 0.000 0.212 0.000 (multiplicity 4)
Si 0.000 0.256 0.500 (multiplicity 4)
Te 0.000 0.500 0.500 (multiplicity 2)

## Properties
V ... 252.48 Å³ per cell
Total magnetic moment ... 0.000 μB per atom
D(E_F) ... 2.4 states/eV/f.u.



*Q*
Below is a relaxed structure of Si5Te, with properties calculated at the GGA-PBE level.

Lattice parameters (Å, degrees): 5.4939 5.4939 4.0869 90.00 90.00 120.00
Space group P6/mmm (No. 191)
One atom of each set of equivalent atoms:
Si 0.0000 0.5000 0.0000 (multiplicity 3)
Si 0.3333 0.6667 0.5000 (multiplicity 2)
Te 0.0000 0.0000 0.5000 (multiplicity 1)

## Properties
V ... 106.83 Å³ per cell
Total magnetic moment ... 0.000 μB per atom
D(E_F) ... 3.1 states/eV/f.u.



Stability ranking, top and bottom: *P* is the most stable and *Q* is the least stable.



*P*
Below is a relaxed structure of Si5Te, with properties calculated at the GGA-PBE level.

Lattice parameters (Å, degrees): 3.295 3.295 9.948 90.00 90.00 90.00
Space group P4/mmm (No. 123)
One atom of each set of equivalent atoms:
Si 0.000 0.000 0.000 (multiplicity 1)
Si 0.000 0.000 0.249 (multiplicity 2)
Si 0.500 0.500 0.135 (multiplicity 2)
Te 0.500 0.500 0.500 (multiplicity 1)

## Properties
V ... 108.00 Å³ per cell
Total magnetic moment ... 0.000 μB per atom
D(E_F) ... 2.0 states/eV/f.u.



*Q*
Below is a relaxed structure of Si5Te, with properties calculated at the GGA-PBE level.

Lattice parameters (Å, degrees): 10.927 3.660 5.612 90.00 105.64 90.00
Space group C2/m (No. 12)
One atom of each set of equivalent atoms:
Si 0.000 0.000 0.000 (multiplicity 2)
Si 0.166 0.500 0.068 (multiplicity 4)
Si 0.212 0.500 0.652 (multiplicity 4)
Te 0.000 0.000 0.500 (multiplicity 2)

## Properties
V ... 216.12 Å³ per cell
Total magnetic moment ... 0.000 μB per atom
D(E_F) ... 1.7 states/eV/f.u.



Stability ranking, top and bottom: *Q* is the most stable and *P* is the least stable.



*P*
Below is a relaxed structure of Th2SiTe, with properties calculated at the GGA-PBE level.

Lattice parameters (Å, degrees): 4.2406 4.2406 22.9636 90.00 90.00 120.00
Space group R3m (No. 160, hexagonal axes)
One atom of each set of equivalent atoms:
Th 0.0000 0.0000 0.0000 (multiplicity 3)
Th 0.0000 0.0000 0.1929 (multiplicity 3)
Si 0.0000 0.0000 0.5978 (multiplicity 3)
Te 0.0000 0.0000 0.4294 (multiplicity 3)

## Properties
V ... 357.63 Å³ per cell
Total magnetic moment ... 0.000 μB per atom
D(E_F) ... 1.3 states/eV/f.u.



*Q*
Below is a relaxed structure of Th2SiTe, with properties calculated at the GGA-PBE level.

Lattice parameters (Å, degrees): 3.714 3.714 7.651 90.00 90.00 90.00
Space group P4/mmm (No. 123)
One atom of each set of equivalent atoms:
Th 0.000 0.000 0.228 (multiplicity 2)
Si 0.500 0.500 0.000 (multiplicity 1)
Te 0.500 0.500 0.500 (multiplicity 1)

## Properties
V ... 105.52 Å³ per cell
Total magnetic moment ... 0.000 μB per atom
D(E_F) ... 4.4 states/eV/f.u.



*R*
Below is a relaxed structure of Th2SiTe, with properties calculated at the GGA-PBE level.

Lattice parameters (Å, degrees): 4.3269 4.3269 22.0352 90.00 90.00 120.00
Space group R-3m (No. 166, hexagonal axes)
One atom of each set of equivalent atoms:
Th 0.0000 0.0000 0.2370 (multiplicity 6)
Si 0.0000 0.0000 0.5000 (multiplicity 3)
Te 0.0000 0.0000 0.0000 (multiplicity 3)

## Properties
V ... 357.27 Å³ per cell
Total magnetic moment ... 0.000 μB per atom
D(E_F) ... 1.9 states/eV/f.u.



Stability ranking, top and bottom: *R* is the most stable and *Q* is the least stable.



*P*
Below is a relaxed structure of TiSi3Te, with properties calculated at the GGA-PBE level.

Lattice parameters (Å, degrees): 5.041 5.041 5.041 90.00 90.00 90.00
Space group Pm-3m (No. 221)
One atom of each set of equivalent atoms:
Ti 0.000 0.000 0.000 (multiplicity 1)
Si 0.000 0.500 0.500 (multiplicity 3)
Te 0.500 0.500 0.500 (multiplicity 1)

## Properties
V ... 128.11 Å³ per cell
Total magnetic moment ... 0.000 μB per atom
D(E_F) ... 7.9 states/eV/f.u.



*Q*
Below is a relaxed structure of TiSi3Te, with properties calculated at the GGA-PBE level.

Lattice parameters (Å, degrees): 4.885 4.885 4.885 90.00 90.00 90.00
Space group Pm-3m (No. 221)
One atom of each set of equivalent atoms:
Ti 0.000 0.000 0.000 (multiplicity 1)
Si 0.000 0.000 0.500 (multiplicity 3)
Te 0.500 0.500 0.500 (multiplicity 1)

## Properties
V ... 116.61 Å³ per cell
Total magnetic moment ... 0.000 μB per atom
D(E_F) ... 4.0 states/eV/f.u.



Stability ranking, top and bottom: *Q* is the most stable and *P* is the least stable.



*P*
Below is a relaxed structure of ZrTi2SiTe, with properties calculated at the GGA-PBE level.

Lattice parameters (Å, degrees): 4.952 4.952 5.322 90.00 90.00 90.00
Space group P4/mmm (No. 123)
One atom of each set of equivalent atoms:
Zr 0.000 0.000 0.000 (multiplicity 1)
Ti 0.000 0.500 0.000 (multiplicity 2)
Si 0.500 0.500 0.500 (multiplicity 1)
Te 0.000 0.000 0.500 (multiplicity 1)

## Properties
V ... 130.50 Å³ per cell
Total magnetic moment ... 0.000 μB per atom
D(E_F) ... 6.9 states/eV/f.u.



*Q*
Below is a relaxed structure of ZrTi2SiTe, with properties calculated at the GGA-PBE level.

Lattice parameters (Å, degrees): 4.631 4.631 5.066 90.00 90.00 90.00
Space group P4/mmm (No. 123)
One atom of each set of equivalent atoms:
Zr 0.000 0.000 0.000 (multiplicity 1)
Ti 0.000 0.500 0.500 (multiplicity 2)
Si 0.000 0.000 0.500 (multiplicity 1)
Te 0.500 0.500 0.000 (multiplicity 1)

## Properties
V ... 108.68 Å³ per cell
Total magnetic moment ... 0.059 μB per atom
D(E_F) ... 7.4 states/eV/f.u.



Stability ranking, top and bottom: *Q* is the most stable and *P* is the least stable.